# 1
Density functional theory data (PBE) for a relaxed Ce2PuNbN4 crystal.

Output
total energy	-10.05	eV per atom

Unit cell a=5.8632 b=3.3925 c=5.9735 alpha=90.00 beta=108.76 gamma=90.00
Atoms (fractional coordinates):
Ce: 0.0000 0.0000 0.0000
Ce: 0.5000 0.5000 0.0000
Pu: 0.0000 0.5000 0.5000
Nb: 0.5000 0.0000 0.5000
N: 0.2563 0.0000 0.7251
N: 0.2713 0.5000 0.2798
N: 0.7287 0.5000 0.7202
N: 0.7437 0.0000 0.2749

# 2
Density functional theory data (PBE) for a relaxed CePuNbN3 crystal.

Output
total energy	-10.23	eV per atom

Unit cell a=7.2278 b=3.3518 c=8.0504 alpha=90.00 beta=92.50 gamma=90.00
Atoms (fractional coordinates):
Ce: 0.1417 0.2500 0.1718
Ce: 0.8583 0.7500 0.8282
Pu: 0.3749 0.7500 0.8456
Pu: 0.6251 0.2500 0.1544
Nb: 0.1313 0.2500 0.5761
Nb: 0.8687 0.7500 0.4239
N: 0.1321 0.2500 0.8496
N: 0.1675 0.7500 0.4185
N: 0.3945 0.7500 0.1120
N: 0.6055 0.2500 0.8880
N: 0.8325 0.2500 0.5815
N: 0.8679 0.7500 0.1504

# 3
Density functional theory data (PBE) for a relaxed Ce2Pu3NbN6 crystal.

Output
total energy	-10.90	eV per atom

Unit cell a=5.9807 b=5.9807 c=5.9036 alpha=99.64 beta=99.64 gamma=120.04
Atoms (fractional coordinates):
Ce: 0.1667 0.8333 0.0000
Ce: 0.8333 0.1667 0.0000
Pu: 0.0000 0.0000 0.5000
Pu: 0.3343 0.6657 0.5000
Pu: 0.6657 0.3343 0.5000
Nb: 0.5000 0.5000 0.0000
N: 0.1065 0.4173 0.7520
N: 0.2711 0.2711 0.2517
N: 0.4173 0.1065 0.7520
N: 0.5827 0.8935 0.2480
N: 0.7289 0.7289 0.7483
N: 0.8935 0.5827 0.2480

# 4
Density functional theory data (PBE) for a relaxed Ce2PuNbN5 crystal.

Output
total energy	-9.89	eV per atom

Unit cell a=7.1812 b=7.1812 c=10.5323 alpha=90.00 beta=90.00 gamma=151.66
Atoms (fractional coordinates):
Ce: 0.1071 0.8929 0.5000
Ce: 0.1441 0.8559 0.0939
Ce: 0.8559 0.1441 0.5939
Ce: 0.8929 0.1071 0.0000
Pu: 0.2154 0.7846 0.8139
Pu: 0.7846 0.2154 0.3139
Nb: 0.4798 0.5202 0.2746
Nb: 0.5202 0.4798 0.7746
N: 0.0507 0.9493 0.8635
N: 0.2761 0.7239 0.4647
N: 0.3236 0.6764 0.1850
N: 0.3794 0.6206 0.8283
N: 0.4840 0.5160 0.5932
N: 0.5160 0.4840 0.0932
N: 0.6206 0.3794 0.3283
N: 0.6764 0.3236 0.6850
N: 0.7239 0.2761 0.9647
N: 0.9493 0.0507 0.3635

# 5
Density functional theory data (PBE) for a relaxed Ce2NbReN6 crystal.

Output
total energy	-9.40	eV per atom

Unit cell a=5.5442 b=5.6904 c=9.6672 alpha=90.00 beta=124.92 gamma=90.00
Atoms (fractional coordinates):
Ce: 0.2439 0.0559 0.2491
Ce: 0.2439 0.4441 0.7491
Ce: 0.7561 0.5559 0.2509
Ce: 0.7561 0.9441 0.7509
Nb: 0.0000 0.0000 0.5000
Nb: 0.0000 0.5000 0.0000
Re: 0.5000 0.0000 0.0000
Re: 0.5000 0.5000 0.5000
N: 0.1562 0.1921 0.9557
N: 0.1562 0.3079 0.4557
N: 0.2646 0.7037 0.9545
N: 0.2646 0.7963 0.4545
N: 0.3412 0.0234 0.7545
N: 0.3412 0.4766 0.2545
N: 0.6588 0.5234 0.7455
N: 0.6588 0.9766 0.2455
N: 0.7354 0.2037 0.5455
N: 0.7354 0.2963 0.0455
N: 0.8438 0.6921 0.5443
N: 0.8438 0.8079 0.0443

# 6
Density functional theory data (PBE) for a relaxed CeNb2RhN4 crystal.

Output
total energy	-9.13	eV per atom

Unit cell a=5.6989 b=5.6989 c=11.1954 alpha=90.00 beta=90.00 gamma=147.04
Atoms (fractional coordinates):
Ce: 0.1097 0.8903 0.7500
Ce: 0.8903 0.1097 0.2500
Nb: 0.3710 0.6290 0.5515
Nb: 0.3710 0.6290 0.9485
Nb: 0.6290 0.3710 0.0515
Nb: 0.6290 0.3710 0.4485
Rh: 0.1611 0.8389 0.2500
Rh: 0.8389 0.1611 0.7500
N: 0.0000 0.0000 0.0000
N: 0.0000 0.0000 0.5000
N: 0.2778 0.7222 0.1054
N: 0.2778 0.7222 0.3946
N: 0.4678 0.5322 0.7500
N: 0.5322 0.4678 0.2500
N: 0.7222 0.2778 0.6054
N: 0.7222 0.2778 0.8946

# 7
Density functional theory data (PBE) for a relaxed CeNb2RuN4 crystal.

Output
total energy	-9.37	eV per atom

Unit cell a=5.7701 b=5.7701 c=11.1358 alpha=90.00 beta=90.00 gamma=147.90
Atoms (fractional coordinates):
Ce: 0.1095 0.8905 0.7500
Ce: 0.8905 0.1095 0.2500
Nb: 0.3707 0.6293 0.5512
Nb: 0.3707 0.6293 0.9488
Nb: 0.6293 0.3707 0.0512
Nb: 0.6293 0.3707 0.4488
Ru: 0.1550 0.8450 0.2500
Ru: 0.8450 0.1550 0.7500
N: 0.0000 0.0000 0.0000
N: 0.0000 0.0000 0.5000
N: 0.2761 0.7239 0.1101
N: 0.2761 0.7239 0.3899
N: 0.4578 0.5422 0.7500
N: 0.5422 0.4578 0.2500
N: 0.7239 0.2761 0.6101
N: 0.7239 0.2761 0.8899

# 8
Density functional theory data (PBE) for a relaxed Ce2NbSbN5 crystal.

Output
total energy	-8.26	eV per atom

Unit cell a=7.4039 b=7.4039 c=10.4757 alpha=90.00 beta=90.00 gamma=153.94
Atoms (fractional coordinates):
Ce: 0.1314 0.8686 0.5000
Ce: 0.1392 0.8608 0.0424
Ce: 0.8608 0.1392 0.5424
Ce: 0.8686 0.1314 0.0000
Nb: 0.2331 0.7669 0.7785
Nb: 0.7669 0.2331 0.2785
Sb: 0.4922 0.5078 0.2503
Sb: 0.5078 0.4922 0.7503
N: 0.0761 0.9239 0.8158
N: 0.2836 0.7164 0.4181
N: 0.2916 0.7084 0.1431
N: 0.3722 0.6278 0.8162
N: 0.4954 0.5046 0.5561
N: 0.5046 0.4954 0.0561
N: 0.6278 0.3722 0.3162
N: 0.7084 0.2916 0.6431
N: 0.7164 0.2836 0.9181
N: 0.9239 0.0761 0.3158

# 9
Density functional theory data (PBE) for a relaxed Ce2ScNbN5 crystal.

Output
total energy	-9.13	eV per atom

Unit cell a=6.9734 b=6.9734 c=10.3997 alpha=90.00 beta=90.00 gamma=151.42
Atoms (fractional coordinates):
Ce: 0.1134 0.8866 0.5000
Ce: 0.1455 0.8545 0.0928
Ce: 0.8545 0.1455 0.5928
Ce: 0.8866 0.1134 0.0000
Sc: 0.2182 0.7818 0.8109
Sc: 0.7818 0.2182 0.3109
Nb: 0.4743 0.5257 0.2739
Nb: 0.5257 0.4743 0.7739
N: 0.0559 0.9441 0.8629
N: 0.2796 0.7204 0.4674
N: 0.3160 0.6840 0.1824
N: 0.3773 0.6227 0.8152
N: 0.4918 0.5082 0.5885
N: 0.5082 0.4918 0.0885
N: 0.6227 0.3773 0.3152
N: 0.6840 0.3160 0.6824
N: 0.7204 0.2796 0.9674
N: 0.9441 0.0559 0.3629